No. 1
NaSr3Rh after structural relaxation. Source: the Alexandria database, functional PBE-GGA.

Cell and atoms, written as CIF:
```
data_NaSr3Rh
_chemical_formula_sum 'Na2 Sr6 Rh2'
_space_group_name_H-M_alt 'P 1'
_space_group_IT_number 1
_cell_length_a 8.1443
_cell_length_b 8.1443
_cell_length_c 8.6038
_cell_angle_alpha 117.55
_cell_angle_beta 117.55
_cell_angle_gamma 60.14
loop_
_space_group_symop_operation_xyz
'x,y,z'
loop_
_atom_site_label
_atom_site_fract_x
_atom_site_fract_y
_atom_site_fract_z
_atom_site_occupancy
Na1 0.0840 0.0840 0.2468 1
Na2 0.9160 0.9160 0.7532 1
Sr1 0.0813 0.5867 0.2531 1
Sr2 0.4133 0.9187 0.7469 1
Sr3 0.4154 0.4154 0.7472 1
Sr4 0.5846 0.5846 0.2528 1
Sr5 0.5867 0.0813 0.2531 1
Sr6 0.9187 0.4133 0.7469 1
Rh1 0.3335 0.3335 0.0017 1
Rh2 0.6665 0.6665 0.9983 1
```

D(E_F) ... 0.83 states/eV per atom
Symmetry ... No. 12
DFT total energy ... -2.8019 eV/atom
Energy of formation from the pure elements ... -0.059 eV/atom

***

No. 2
NaSr6Rh after structural relaxation. Source: the Alexandria database, functional PBE-GGA.

Cell and atoms, written as CIF:
```
data_NaSr6Rh
_chemical_formula_sum 'Na2 Sr12 Rh2'
_space_group_name_H-M_alt 'P 1'
_space_group_IT_number 1
_cell_length_a 8.1219
_cell_length_b 8.1219
_cell_length_c 14.4717
_cell_angle_alpha 100.48
_cell_angle_beta 100.48
_cell_angle_gamma 53.72
loop_
_space_group_symop_operation_xyz
'x,y,z'
loop_
_atom_site_label
_atom_site_fract_x
_atom_site_fract_y
_atom_site_fract_z
_atom_site_occupancy
Na1 0.0832 0.9168 0.7500 1
Na2 0.9168 0.0832 0.2500 1
Sr1 0.0680 0.2187 0.5330 1
Sr2 0.1952 0.3730 0.8256 1
Sr3 0.2187 0.0680 0.0330 1
Sr4 0.3374 0.5106 0.1081 1
Sr5 0.3730 0.1952 0.3256 1
Sr6 0.4894 0.6626 0.3919 1
Sr7 0.5106 0.3374 0.6081 1
Sr8 0.6270 0.8048 0.6744 1
Sr9 0.6626 0.4894 0.8919 1
Sr10 0.7813 0.9320 0.9670 1
Sr11 0.8048 0.6270 0.1744 1
Sr12 0.9320 0.7813 0.4670 1
Rh1 0.0000 0.5000 0.0000 1
Rh2 0.5000 0.0000 0.5000 1
```

D(E_F) ... 0.74 states/eV per atom
Symmetry ... No. 15
DFT total energy ... -2.4717 eV/atom
Energy of formation from the pure elements ... -0.127 eV/atom

***

No. 3
Na3SrRh after structural relaxation. Source: the Alexandria database, functional PBE-GGA.

Cell and atoms, written as CIF:
```
data_Na3SrRh
_chemical_formula_sum 'Na3 Sr1 Rh1'
_space_group_name_H-M_alt 'P 1'
_space_group_IT_number 1
_cell_length_a 5.4620
_cell_length_b 5.4620
_cell_length_c 5.4620
_cell_angle_alpha 90.00
_cell_angle_beta 90.00
_cell_angle_gamma 90.00
loop_
_space_group_symop_operation_xyz
'x,y,z'
loop_
_atom_site_label
_atom_site_fract_x
_atom_site_fract_y
_atom_site_fract_z
_atom_site_occupancy
Na1 0.0000 0.0000 0.5000 1
Na2 0.0000 0.5000 0.0000 1
Na3 0.5000 0.0000 0.0000 1
Sr1 0.5000 0.5000 0.5000 1
Rh1 0.0000 0.0000 0.0000 1
```

D(E_F) ... 0.57 states/eV per atom
Symmetry ... No. 221
DFT total energy ... -2.2492 eV/atom
Energy of formation from the pure elements ... 0.349 eV/atom

***

No. 4
NaSr3Rh after structural relaxation. Source: the Alexandria database, functional PBE-GGA.

Cell and atoms, written as CIF:
```
data_NaSr3Rh
_chemical_formula_sum 'Na4 Sr12 Rh4'
_space_group_name_H-M_alt 'P 1'
_space_group_IT_number 1
_cell_length_a 10.8519
_cell_length_b 7.4509
_cell_length_c 11.0787
_cell_angle_alpha 90.00
_cell_angle_beta 115.12
_cell_angle_gamma 90.00
loop_
_space_group_symop_operation_xyz
'x,y,z'
loop_
_atom_site_label
_atom_site_fract_x
_atom_site_fract_y
_atom_site_fract_z
_atom_site_occupancy
Na1 0.1165 0.1353 0.0948 1
Na2 0.1165 0.3647 0.5948 1
Na3 0.8835 0.6353 0.4052 1
Na4 0.8835 0.8647 0.9052 1
Sr1 0.1432 0.6175 0.2392 1
Sr2 0.1432 0.8825 0.7392 1
Sr3 0.3165 0.0761 0.4606 1
Sr4 0.3165 0.4239 0.9606 1
Sr5 0.4447 0.5884 0.6405 1
Sr6 0.4447 0.9116 0.1405 1
Sr7 0.5553 0.0884 0.8595 1
Sr8 0.5553 0.4116 0.3595 1
Sr9 0.6835 0.5761 0.0394 1
Sr10 0.6835 0.9239 0.5394 1
Sr11 0.8568 0.1175 0.2608 1
Sr12 0.8568 0.3825 0.7608 1
Rh1 0.4115 0.7467 0.8746 1
Rh2 0.4115 0.7533 0.3746 1
Rh3 0.5885 0.2467 0.6254 1
Rh4 0.5885 0.2533 0.1254 1
```

D(E_F) ... 0.67 states/eV per atom
Symmetry ... No. 14
DFT total energy ... -2.8631 eV/atom
Energy of formation from the pure elements ... -0.120 eV/atom

***

No. 5
NaSr3Rh after structural relaxation. Source: the Alexandria database, functional PBE-GGA.

Cell and atoms, written as CIF:
```
data_NaSr3Rh
_chemical_formula_sum 'Na2 Sr6 Rh2'
_space_group_name_H-M_alt 'P 1'
_space_group_IT_number 1
_cell_length_a 6.8678
_cell_length_b 6.8678
_cell_length_c 10.3588
_cell_angle_alpha 113.17
_cell_angle_beta 113.17
_cell_angle_gamma 63.19
loop_
_space_group_symop_operation_xyz
'x,y,z'
loop_
_atom_site_label
_atom_site_fract_x
_atom_site_fract_y
_atom_site_fract_z
_atom_site_occupancy
Na1 0.2219 0.7781 0.0000 1
Na2 0.7781 0.2219 0.0000 1
Sr1 0.1880 0.1880 0.4002 1
Sr2 0.1928 0.1928 0.7860 1
Sr3 0.4579 0.4579 0.2876 1
Sr4 0.5421 0.5421 0.7124 1
Sr5 0.8072 0.8072 0.2140 1
Sr6 0.8120 0.8120 0.5998 1
Rh1 0.1892 0.8108 0.5000 1
Rh2 0.8108 0.1892 0.5000 1
```

D(E_F) ... 0.61 states/eV per atom
Symmetry ... No. 12
DFT total energy ... -2.8696 eV/atom
Energy of formation from the pure elements ... -0.126 eV/atom

***

No. 6
NaSr3Rh after structural relaxation. Source: the Alexandria database, functional PBE-GGA.

Cell and atoms, written as CIF:
```
data_NaSr3Rh
_chemical_formula_sum 'Na2 Sr6 Rh2'
_space_group_name_H-M_alt 'P 1'
_space_group_IT_number 1
_cell_length_a 10.8034
_cell_length_b 10.8034
_cell_length_c 9.0934
_cell_angle_alpha 90.13
_cell_angle_beta 90.13
_cell_angle_gamma 22.32
loop_
_space_group_symop_operation_xyz
'x,y,z'
loop_
_atom_site_label
_atom_site_fract_x
_atom_site_fract_y
_atom_site_fract_z
_atom_site_occupancy
Na1 0.2190 0.2190 0.3475 1
Na2 0.7810 0.7810 0.6525 1
Sr1 0.0327 0.0327 0.1885 1
Sr2 0.1621 0.1621 0.9226 1
Sr3 0.4069 0.4069 0.4107 1
Sr4 0.5931 0.5931 0.5893 1
Sr5 0.8379 0.8379 0.0774 1
Sr6 0.9673 0.9673 0.8115 1
Rh1 0.4419 0.4419 0.0822 1
Rh2 0.5581 0.5581 0.9178 1
```

D(E_F) ... 0.65 states/eV per atom
Symmetry ... No. 12
DFT total energy ... -2.8512 eV/atom
Energy of formation from the pure elements ... -0.108 eV/atom

***

no.,total magnetic moment (μB per cell)
1,0.0
2,0.0
3,0.0
4,0.0
5,0.0
6,0.0